[1]
A relaxed SrZnPt crystal. Source: the Alexandria database, functional PBE.

```
SrZnPt
1.0
-0.784 -2.891 5.056
2.180 -4.142 3.554
1.946 1.632 2.481
Sr Pt Zn
1 1 1
Cartesian
1.759 -1.304 4.558
1.924 1.296 2.719
1.603 -3.762 6.296
```

Volume in Å³ per cell: 67.0
Space group: I4mm
Crystal system: tetragonal
Formation energy from the elements in eV/atom: -0.50

***

[2]
A relaxed Sr2ZnPt2 crystal. Source: the Alexandria database, functional PBE.

```
Sr2ZnPt2
1.0
-1.744 -3.037 -1.672
1.914 -2.404 2.371
-6.505 -2.171 6.226
Pt Sr Zn
2 2 1
Cartesian
-2.253 -3.648 4.473
-4.082 -3.965 2.452
-4.898 -5.019 5.218
-1.437 -2.594 1.707
0.000 0.000 0.000
```

Volume in Å³ per cell: 133.2
Space group: I4/mmm
Crystal system: tetragonal
Formation energy from the elements in eV/atom: -0.36

***

[3]
A relaxed SrZnPt crystal. Source: the Alexandria database, functional PBE.

```
SrZnPt
1.0
-4.067 -0.862 -1.387
-0.658 -2.543 3.508
-2.482 5.750 3.702
Zn Pt Sr
2 2 2
Cartesian
-1.510 -2.123 2.284
-3.215 -1.282 -0.163
-5.522 2.031 4.543
-1.684 0.314 1.280
-4.381 -0.613 2.840
-2.825 2.958 2.983
```

Volume in Å³ per cell: 139.7
Space group: P4/nmm
Crystal system: tetragonal
Formation energy from the elements in eV/atom: -0.70

***

[4]
A relaxed SrZn3Pt3 crystal. Source: the Alexandria database, functional PBE.

```
SrZn3Pt3
1.0
6.904 0.000 0.000
0.000 6.904 0.000
0.000 0.000 6.904
Zn Pt Sr
6 6 2
Cartesian
1.726 3.452 0.000
3.452 0.000 5.178
5.178 3.452 0.000
0.000 5.178 3.452
3.452 0.000 1.726
0.000 1.726 3.452
5.178 0.000 3.452
0.000 3.452 1.726
3.452 1.726 0.000
1.726 0.000 3.452
3.452 5.178 0.000
0.000 3.452 5.178
3.452 3.452 3.452
0.000 0.000 0.000
```

Volume in Å³ per cell: 329.1
Space group: Pm-3n
Crystal system: cubic
Formation energy from the elements in eV/atom: -0.26

***

[5]
A relaxed Sr2Zn4Pt3 crystal. Source: the Alexandria database, functional PBE.

```
Sr2Zn4Pt3
1.0
5.410 0.000 -2.120
0.000 7.937 0.000
0.105 0.000 8.233
Zn Pt Sr
8 6 4
Cartesian
1.669 1.984 0.277
4.483 0.110 3.477
1.033 7.827 2.637
1.777 3.858 4.537
3.738 4.079 1.577
1.142 5.953 6.896
3.847 5.953 5.836
4.374 1.984 -0.783
5.330 1.984 1.657
0.000 0.000 0.000
2.705 3.968 -1.060
2.625 1.984 2.717
2.891 5.953 3.397
0.186 5.953 4.457
3.352 7.209 0.590
2.164 0.728 5.524
4.869 3.241 4.464
0.646 4.696 1.650
```

Volume in Å³ per cell: 355.3
Space group: Cmce
Crystal system: orthorhombic
Formation energy from the elements in eV/atom: -0.61

***

[6]
A relaxed Sr2Zn2Pt crystal. Source: the Alexandria database, functional PBE.

```
Sr2Zn2Pt
1.0
-0.871 -4.528 3.929
5.209 -2.536 -1.767
3.989 -1.614 3.694
Pt Zn Sr
1 2 2
Cartesian
0.000 0.000 0.000
5.570 -5.766 3.930
2.757 -2.912 1.926
5.684 -3.841 1.504
2.643 -4.837 4.352
```

Volume in Å³ per cell: 136.4
Space group: I4/mmm
Crystal system: tetragonal
ΔE to the lowest computed polymorph in eV/f.u.: 1.30
Formation energy from the elements in eV/atom: -0.27

***

[7]
A relaxed SrZnPt crystal. Source: the Alexandria database, functional PBE.

```
SrZnPt
1.0
-2.541 4.064 0.206
-2.313 1.583 -3.894
-4.792 -0.156 -0.173
Zn Sr Pt
1 1 1
Cartesian
-4.823 2.746 -1.931
0.000 0.000 0.000
-2.412 1.373 -0.965
```

Volume in Å³ per cell: 78.1
Space group: F-43m
Crystal system: cubic
Formation energy from the elements in eV/atom: -0.48

***

[8]
A relaxed Sr6ZnPt crystal. Source: the Alexandria database, functional PBE.

```
Sr6ZnPt
1.0
-0.247 4.819 -5.851
-6.326 -3.490 2.307
-2.702 10.917 9.105
Sr Zn Pt
12 2 2
Cartesian
-8.044 4.846 6.074
-1.230 7.400 -0.513
-5.537 6.579 -0.806
-6.681 7.254 9.542
-3.738 5.667 6.368
-4.760 2.241 -1.326
-0.443 2.865 -0.793
-2.593 4.992 -3.981
-3.128 4.595 2.287
-4.514 10.005 6.888
-6.147 7.651 3.274
-8.831 9.381 6.354
-4.299 10.237 3.697
-4.975 2.009 1.864
0.000 0.000 0.000
-1.351 5.459 4.553
```

Volume in Å³ per cell: 720.8
Space group: P-31c
Crystal system: trigonal
Formation energy from the elements in eV/atom: -0.31

***

[9]
A relaxed SrZn2Pt2 crystal. Source: the Alexandria database, functional PBE.

```
SrZn2Pt2
1.0
4.240 0.000 0.000
0.000 4.240 0.000
2.120 2.120 5.652
Zn Sr Pt
2 1 2
Cartesian
2.120 4.240 2.826
4.240 2.120 2.826
0.000 0.000 0.000
4.240 4.240 4.324
2.120 2.120 1.328
```

Volume in Å³ per cell: 101.6
Space group: I4/mmm
Crystal system: tetragonal
ΔE to the lowest computed polymorph in eV/f.u.: 0.01
Formation energy from the elements in eV/atom: -0.69

***

[10]
A relaxed Sr3ZnPt crystal. Source: the Alexandria database, functional PBE.

```
Sr3ZnPt
1.0
4.341 0.000 0.001
0.000 7.377 0.831
-0.001 1.158 10.917
Sr Zn Pt
6 2 2
Cartesian
3.256 5.984 3.465
1.085 2.551 8.284
3.256 2.104 4.932
1.085 6.431 6.817
3.256 1.930 0.923
1.085 6.605 10.826
1.085 3.475 2.816
3.255 5.060 8.933
1.085 0.890 3.096
3.255 7.645 8.653
```

Volume in Å³ per cell: 345.5
Space group: P2_1/m
Crystal system: monoclinic
ΔE to the lowest computed polymorph in eV/f.u.: 0.00
Formation energy from the elements in eV/atom: -0.47

***

[11]
A relaxed SrZnPt2 crystal. Source: the Alexandria database, functional PBE.

```
SrZnPt2
1.0
-1.721 -1.830 -3.705
-3.403 -2.892 0.300
-5.112 2.433 -1.502
Zn Sr Pt
1 1 2
Cartesian
-1.932 -1.308 -1.158
-5.073 -1.205 -2.450
-5.261 -4.559 -3.419
-8.211 -1.084 -3.736
```

Volume in Å³ per cell: 91.4
Space group: Cm
Crystal system: monoclinic
Formation energy from the elements in eV/atom: -0.59

***

[12]
A relaxed SrZnPt2 crystal. Source: the Alexandria database, functional PBE.

```
SrZnPt2
1.0
4.969 0.000 0.000
0.000 4.969 0.000
2.484 2.484 8.524
Sr Pt Zn
2 4 2
Cartesian
0.000 0.000 0.000
4.969 2.484 4.262
2.198 3.727 2.131
3.727 4.682 6.393
2.771 1.242 2.131
6.211 5.255 6.393
2.484 2.484 0.000
2.484 4.969 4.262
```

Volume in Å³ per cell: 210.4
Space group: I-42d
Crystal system: tetragonal
Formation energy from the elements in eV/atom: -0.48

***

- Which value of volume does entry 2 give?
  133.2 Å³ per cell